Record 1
9
Lattice="2.4401 1.4088 6.5516 -2.4401 1.4088 6.5516 0.0000 -2.8176 6.5516" Properties=species:S:1:pos:R:3 comment="RhSe2O6 (PBE-GGA, relaxed)" formation_energy_uncorrected_ev_per_atom=-0.59 m_tot_mub_per_fu=1.0 vol_a3_per_cell=135.1 pbc="T T T"
Rh 0.0000 0.0000 0.0000
Se 0.0000 0.0000 4.6646
Se 0.0000 0.0000 8.4429
O -0.7747 -1.4163 7.7789
O -1.6617 -0.0049 11.8813
O -0.8392 1.3790 7.7789
O 0.8351 -1.4366 11.8813
O 1.6139 0.0372 7.7789
O 0.8266 1.4416 11.8813

***

Record 2
5
Lattice="5.2630 0.0000 0.0000 0.0000 5.2630 0.0000 0.0000 0.0000 7.3186" Properties=species:S:1:pos:R:3 comment="BaCa2SbAs (PBE-GGA, relaxed)" formation_energy_uncorrected_ev_per_atom=-1.03 m_tot_mub_per_fu=0.0 vol_a3_per_cell=202.7 pbc="T T T"
Ba 0.0000 0.0000 0.0000
Ca 0.0000 2.6315 3.1068
Ca 2.6315 0.0000 3.1068
Sb 2.6315 2.6315 1.1661
As 0.0000 0.0000 4.1672

***

Record 3
5
Lattice="5.8753 0.0000 0.0000 0.0000 5.8753 0.0000 0.0000 0.0000 5.8753" Properties=species:S:1:pos:R:3 comment="K3HfRu (PBE-GGA, relaxed)" e_above_lowest_polymorph_ev_per_atom=0.000 ef_kj_per_mol_atoms=187.8 m_tot_mub_per_fu=0.0 vol_a3_per_cell=202.8 pbc="T T T"
K 0.0000 0.0000 2.9377
K 0.0000 2.9377 0.0000
K 2.9377 0.0000 0.0000
Hf 2.9377 2.9377 2.9377
Ru 0.0000 0.0000 0.0000

***

Record 4
8
Lattice="6.9888 0.0000 0.0000 0.0000 3.9991 0.0000 -2.2818 0.0000 6.6075" Properties=species:S:1:pos:R:3 comment="HoZrU2As4 (PBE-GGA, relaxed)" ef_kj_per_mol_atoms=-98.2 m_tot_mub_per_fu=0.1 vol_a3_per_cell=184.7 pbc="T T T"
Ho 0.0000 0.0000 0.0000
Zr 3.4944 1.9996 0.0000
U -1.1409 1.9996 3.3038
U 2.3535 0.0000 3.3038
As 1.2133 1.9996 1.6214
As 0.0731 0.0000 5.0086
As 4.6339 0.0000 1.5989
As 3.4937 1.9996 4.9861

***

Record 5
6
Lattice="7.0517 0.0000 0.0000 -3.5258 6.1069 0.0000 0.0000 0.0000 6.3286" Properties=species:S:1:pos:R:3 comment="Sr5Cu (PBE-GGA, relaxed)" e_above_lowest_polymorph_ev_per_atom=0.198 ef_kj_per_mol_atoms=20.6 m_tot_mub_per_fu=0.0 vol_a3_per_cell=272.5 pbc="T T T"
Sr -2.4318 4.2120 0.0000
Sr 1.0940 1.8949 0.0000
Sr 0.0000 4.0713 3.1643
Sr 3.5258 2.0356 3.1643
Sr 4.8636 0.0000 0.0000
Cu 0.0000 0.0000 3.1643

***

Record 6
5
Lattice="4.7163 0.0000 0.0000 0.0000 4.7163 0.0000 0.0000 0.0000 4.7163" Properties=species:S:1:pos:R:3 comment="NaRuS3 (PBE-GGA, relaxed)" e_above_lowest_polymorph_ev_per_atom=0.000 formation_energy_uncorrected_ev_per_atom=-0.02 m_tot_mub_per_fu=3.3 vol_a3_per_cell=104.9 pbc="T T T"
Na 0.0000 0.0000 0.0000
Ru 2.3581 2.3581 2.3581
S 0.0000 2.3581 2.3581
S 2.3581 0.0000 2.3581
S 2.3581 2.3581 0.0000

***

Quick rundown of D(E_F), same order as above: 0.580, 0.000, 3.784, 1.782, 0.950, 1.063 states/eV per atom